[1]
# RhF3 | Alexandria via LeMat-Bulk | GGA-PBE | relaxed
data_RhF3
_chemical_formula_sum 'Rh2 F6'
_cell_length_a 3.7022
_cell_length_b 3.7022
_cell_length_c 7.6840
_cell_angle_alpha 76.06
_cell_angle_beta 76.06
_cell_angle_gamma 90.00
_space_group_name_H-M_alt 'P 1'
_space_group_IT_number 1
loop_
_space_group_symop_operation_xyz
'x,y,z'
loop_
_atom_site_label
_atom_site_fract_x
_atom_site_fract_y
_atom_site_fract_z
Rh1 0.0000 0.0000 0.0000
Rh2 0.7500 0.2500 0.5000
F1 0.5000 0.5000 0.0000
F2 0.2500 0.7500 0.5000
F3 0.6780 0.1250 0.2500
F4 0.0720 0.6250 0.2500
F5 0.3750 0.3220 0.7500
F6 0.8750 0.9280 0.7500
# raw formation energy: -0.55 eV/atom
# total magnetic moment: 4.00 μB per formula unit


[2]
# RhF3 | Alexandria via LeMat-Bulk | GGA-PBE | relaxed
data_RhF3
_chemical_formula_sum 'Rh1 F3'
_cell_length_a 3.8886
_cell_length_b 3.8886
_cell_length_c 3.8886
_cell_angle_alpha 60.00
_cell_angle_beta 60.00
_cell_angle_gamma 60.00
_space_group_name_H-M_alt 'P 1'
_space_group_IT_number 1
loop_
_space_group_symop_operation_xyz
'x,y,z'
loop_
_atom_site_label
_atom_site_fract_x
_atom_site_fract_y
_atom_site_fract_z
Rh1 0.5000 0.5000 0.5000
F1 0.2500 0.2500 0.2500
F2 0.7500 0.7500 0.7500
F3 0.0000 0.0000 0.0000
# raw formation energy: -0.60 eV/atom
# total magnetic moment: 4.00 μB per formula unit


[3]
# RhF5 | Alexandria via LeMat-Bulk | GGA-PBE | relaxed
data_RhF5
_chemical_formula_sum 'Rh2 F10'
_cell_length_a 5.5873
_cell_length_b 5.5873
_cell_length_c 7.6496
_cell_angle_alpha 85.31
_cell_angle_beta 115.28
_cell_angle_gamma 121.82
_space_group_name_H-M_alt 'P 1'
_space_group_IT_number 1
loop_
_space_group_symop_operation_xyz
'x,y,z'
loop_
_atom_site_label
_atom_site_fract_x
_atom_site_fract_y
_atom_site_fract_z
Rh1 0.0000 0.0000 0.0000
Rh2 0.5000 0.0000 0.5000
F1 0.1632 0.3779 0.9531
F2 0.1848 0.9374 0.8688
F3 0.5686 0.3160 0.6312
F4 0.5999 0.8499 0.7500
F5 0.0751 0.7899 0.4531
F6 0.9249 0.2101 0.5469
F7 0.4001 0.1501 0.2500
F8 0.4314 0.6840 0.3688
F9 0.8152 0.0626 0.1312
F10 0.8368 0.6221 0.0469
# raw formation energy: -1.30 eV/atom
# total magnetic moment: 2.02 μB per formula unit
# ΔE to the lowest computed polymorph: 0.027 eV/atom


[4]
# RhF3 | Alexandria via LeMat-Bulk | GGA-PBE | relaxed
data_RhF3
_chemical_formula_sum 'Rh1 F3'
_cell_length_a 8.9316
_cell_length_b 8.9316
_cell_length_c 8.9316
_cell_angle_alpha 17.25
_cell_angle_beta 17.25
_cell_angle_gamma 17.25
_space_group_name_H-M_alt 'P 1'
_space_group_IT_number 1
loop_
_space_group_symop_operation_xyz
'x,y,z'
loop_
_atom_site_label
_atom_site_fract_x
_atom_site_fract_y
_atom_site_fract_z
Rh1 0.0000 0.0000 0.0000
F1 0.5000 0.5000 0.5000
F2 0.9293 0.9293 0.9293
F3 0.0707 0.0707 0.0707
# raw formation energy: -0.35 eV/atom
# total magnetic moment: 0.00 μB per formula unit


[5]
# RhF3 | Alexandria via LeMat-Bulk | GGA-PBE | relaxed
data_RhF3
_chemical_formula_sum 'Rh2 F6'
_cell_length_a 5.0030
_cell_length_b 5.0030
_cell_length_c 5.4418
_cell_angle_alpha 62.63
_cell_angle_beta 62.63
_cell_angle_gamma 60.03
_space_group_name_H-M_alt 'P 1'
_space_group_IT_number 1
loop_
_space_group_symop_operation_xyz
'x,y,z'
loop_
_atom_site_label
_atom_site_fract_x
_atom_site_fract_y
_atom_site_fract_z
Rh1 0.5000 0.5000 0.5000
Rh2 0.0000 0.0000 0.0000
F1 0.7500 0.0899 0.7500
F2 0.4101 0.7500 0.7500
F3 0.9100 0.5900 0.2500
F4 0.5899 0.2500 0.2500
F5 0.2500 0.9101 0.2500
F6 0.0900 0.4100 0.7500
# raw formation energy: -1.52 eV/atom
# total magnetic moment: 0.00 μB per formula unit


[6]
# RhF5 | Alexandria via LeMat-Bulk | GGA-PBE | relaxed
data_RhF5
_chemical_formula_sum 'Rh8 F40'
_cell_length_a 10.0970
_cell_length_b 5.7227
_cell_length_c 12.6742
_cell_angle_alpha 78.54
_cell_angle_beta 90.00
_cell_angle_gamma 90.00
_space_group_name_H-M_alt 'P 1'
_space_group_IT_number 1
loop_
_space_group_symop_operation_xyz
'x,y,z'
loop_
_atom_site_label
_atom_site_fract_x
_atom_site_fract_y
_atom_site_fract_z
Rh1 0.2485 0.9955 0.4958
Rh2 0.7485 0.0045 0.0042
Rh3 0.7515 0.0045 0.5042
Rh4 0.2515 0.9955 0.9958
Rh5 0.4981 0.7036 0.6998
Rh6 0.9981 0.2964 0.8002
Rh7 0.5019 0.2964 0.3002
Rh8 0.0019 0.7036 0.1998
F1 0.1697 0.0919 0.3609
F2 0.6697 0.9081 0.1391
F3 0.8303 0.9081 0.6391
F4 0.3303 0.0919 0.8609
F5 0.0990 0.8168 0.5467
F6 0.5990 0.1832 0.9533
F7 0.9010 0.1832 0.4533
F8 0.4010 0.8168 0.0467
F9 0.3299 0.7353 0.4549
F10 0.8299 0.2647 0.0451
F11 0.6701 0.2647 0.5451
F12 0.1701 0.7353 0.9549
F13 0.1856 0.2612 0.5440
F14 0.6856 0.7388 0.9560
F15 0.8144 0.7388 0.4560
F16 0.3144 0.2612 0.0440
F17 0.3330 0.8920 0.6440
F18 0.8330 0.1080 0.8560
F19 0.6670 0.1080 0.3560
F20 0.1670 0.8920 0.1440
F21 0.4137 0.1900 0.4466
F22 0.9137 0.8100 0.0534
F23 0.5863 0.8100 0.5534
F24 0.0863 0.1900 0.9466
F25 0.6485 0.5309 0.7536
F26 0.1485 0.4691 0.7464
F27 0.3515 0.4691 0.2464
F28 0.8515 0.5309 0.2536
F29 0.4302 0.4476 0.6467
F30 0.9302 0.5524 0.8533
F31 0.5698 0.5524 0.3533
F32 0.0698 0.4476 0.1467
F33 0.4118 0.6087 0.8316
F34 0.9118 0.3913 0.6684
F35 0.5882 0.3913 0.1684
F36 0.0882 0.6087 0.3316
F37 0.5627 0.9803 0.7377
F38 0.0627 0.0197 0.7623
F39 0.4373 0.0197 0.2623
F40 0.9373 0.9803 0.2377
# raw formation energy: -1.33 eV/atom
# total magnetic moment: 2.00 μB per formula unit
# ΔE to the lowest computed polymorph: 0.000 eV/atom